DFT (PBE-GGA) results for BH5Pd8 after structural relaxation.

The calculation puts the spin magnetization at 0.0000 μB/atom. For the total DFT energy (no corrections), the calculation gives -0.34784 Ry per atom.

It has space group I-4 (No. 82), with a = 6.805 Å, b = 6.805 Å, c = 6.287 Å, α = 90.00°, β = 90.00° and γ = 90.00°. Symmetry generates all atoms from B at (0.000, 0.000, 0.000), H at (0.000, 0.500, 0.750), H at (0.124, 0.761, 0.383), Pd at (0.018, 0.774, 0.653) and Pd at (0.026, 0.719, 0.103).